# 1
This record from Alexandria describes V2IrOsRh5 after structural relaxation. The functional is PBE.

Computed properties:
V: 133.3 Å³/f.u.
space-group type: I4/mcm (140)
total energy: -8.008 eV per atom

a b c (Å): 7.3638 7.3638 7.3638
angles (deg): 123.34 123.34 84.30
Last column: nearest neighbours and their distance in Å.
Element x y z (fractional)
1 V 0.1082 0.6082 0.7163  1 V 2.14, 2 Rh 2.26
2 V 0.3918 0.1082 0.5000  1 V 2.14, 2 Rh 2.26
3 V 0.6082 0.8918 0.5000  1 V 2.14, 2 Rh 2.26
4 V 0.8918 0.3918 0.2837  1 V 2.14, 2 Rh 2.26
5 Ir 0.2500 0.7500 0.5000  4 Rh 2.50
6 Ir 0.7500 0.2500 0.5000  4 Rh 2.50
7 Os 0.2500 0.2500 0.0000  10 Rh 2.73-2.80
8 Os 0.7500 0.7500 0.0000  10 Rh 2.73-2.80
9 Rh 0.0000 0.0000 0.0000  2 Os 2.73, 4 V 2.84, 8 Rh 2.89
10 Rh 0.0842 0.1491 0.5000  1 V 2.26, 1 Ir 2.50
11 Rh 0.1491 0.6491 0.0649  1 V 2.26, 1 Ir 2.50
12 Rh 0.3509 0.4158 0.5000  1 V 2.26, 1 Ir 2.50
13 Rh 0.4158 0.9158 0.0649  1 V 2.26, 1 Ir 2.50
14 Rh 0.5000 0.5000 0.0000  2 Os 2.73, 4 V 2.84, 8 Rh 2.89
15 Rh 0.5842 0.0842 0.9351  1 V 2.26, 1 Ir 2.50
16 Rh 0.6491 0.5842 0.5000  1 V 2.26, 1 Ir 2.50
17 Rh 0.8509 0.3509 0.9351  1 V 2.26, 1 Ir 2.50
18 Rh 0.9158 0.8509 0.5000  1 V 2.26, 1 Ir 2.50

=====

# 2
This record from Alexandria describes PmErPd after structural relaxation. The functional is PBE.

Computed properties:
V: 84.8 Å³/f.u.
polymorph energy (0 for the lowest one): 85 meV per atom
space-group type: F-43m (216)

a b c (Å): 4.9315 4.9315 4.9315
angles (deg): 60.00 60.00 60.00
Last column: nearest neighbours and their distance in Å.
Element x y z (fractional)
1 Pm 0.0000 0.0000 0.0000  4 Pd 3.02
2 Er 0.5000 0.5000 0.5000  4 Pd 3.02
3 Pd 0.2500 0.2500 0.2500  4 Er 3.02, 4 Pm 3.02

=====

# 3
This record from Alexandria describes Pm3Nd2Tl6 after structural relaxation. The functional is PBE.

Computed properties:
V: 414.3 Å³/f.u.
space-group type: I4/mmm (139)
total energy: -3.373 eV per atom

a b c (Å): 12.1827 12.1827 12.1827
angles (deg): 151.37 151.37 40.94
Last column: nearest neighbours and their distance in Å.
Element x y z (fractional)
1 Pm 0.0000 0.0000 0.0000  2 Pm 3.24, 8 Tl 3.41
2 Pm 0.1421 0.1421 0.0000  5 Tl 3.17-3.43, 1 Pm 3.24
3 Pm 0.8579 0.8579 0.0000  5 Tl 3.17-3.43, 1 Pm 3.24
4 Nd 0.4211 0.4211 0.0000  5 Tl 3.02-3.20
5 Nd 0.5789 0.5789 0.0000  5 Tl 3.02-3.20
6 Tl 0.0703 0.5703 0.5000  2 Nd 3.02, 1 Tl 3.21
7 Tl 0.2810 0.2810 0.0000  1 Pm 3.17, 1 Nd 3.20
8 Tl 0.4297 0.9297 0.5000  2 Nd 3.02, 1 Tl 3.21
9 Tl 0.5703 0.0703 0.5000  2 Nd 3.02, 1 Tl 3.21
10 Tl 0.7190 0.7190 0.0000  1 Pm 3.17, 1 Nd 3.20
11 Tl 0.9297 0.4297 0.5000  2 Nd 3.02, 1 Tl 3.21

=====

# 4
This record from Alexandria describes TaTe2Pt after structural relaxation. The functional is PBE.

Computed properties:
V: 116.8 Å³/f.u.
space-group type: I-42d (122)
formation energy from raw total energies: 0.249 eV per atom

a b c (Å): 7.4572 7.4572 7.4572
angles (deg): 130.61 130.61 72.44
Last column: nearest neighbours and their distance in Å.
Element x y z (fractional)
1 Ta 0.0000 0.0000 0.0000  4 Te 2.70
2 Ta 0.7500 0.2500 0.5000  4 Te 2.70
3 Te 0.1330 0.6250 0.0080  2 Pt 2.64, 2 Ta 2.70
4 Te 0.3750 0.3830 0.5080  2 Pt 2.64, 2 Ta 2.70
5 Te 0.6170 0.1250 0.9920  2 Pt 2.64, 2 Ta 2.70
6 Te 0.8750 0.8670 0.4920  2 Pt 2.64, 2 Ta 2.70
7 Pt 0.2500 0.7500 0.5000  4 Te 2.64
8 Pt 0.5000 0.5000 0.0000  4 Te 2.64

=====

# 5
This record from Alexandria describes In3SiBi after structural relaxation. The functional is PBE.

Computed properties:
V: 144.6 Å³/f.u.
polymorph energy (0 for the lowest one): 0 meV per atom
space-group type: Pm-3m (221)
formation energy from raw total energies: 0.288 eV per atom

a b c (Å): 5.2490 5.2490 5.2490
angles (deg): 90.00 90.00 90.00
Last column: nearest neighbours and their distance in Å.
Element x y z (fractional)
1 In 0.0000 0.0000 0.5000  2 Si 2.62
2 In 0.0000 0.5000 0.0000  2 Si 2.62
3 In 0.5000 0.0000 0.0000  2 Si 2.62
4 Si 0.0000 0.0000 0.0000  6 In 2.62
5 Bi 0.5000 0.5000 0.5000  12 In 3.71

=====

# 6
This record from Alexandria describes HoGa2Ni3 after structural relaxation. The functional is PBE.

Computed properties:
V: 90.5 Å³/f.u.
space-group type: P-62m (189)
total energy: -5.225 eV per atom

a b c (Å): 8.7604 8.7604 4.0842
angles (deg): 90.00 90.00 120.00
Last column: nearest neighbours and their distance in Å.
Element x y z (fractional)
1 Ho 0.0000 0.0000 0.0000  6 Ni 2.84, 6 Ga 3.13
2 Ho 0.3333 0.6667 0.5000  9 Ni 3.02-3.12, 9 Ga 3.23-3.26
3 Ho 0.6667 0.3333 0.5000  9 Ni 3.02-3.12, 9 Ga 3.23-3.26
4 Ga 0.0000 0.2714 0.5000  6 Ni 2.43-2.47
5 Ga 0.0000 0.5212 0.0000  6 Ni 2.36-2.62
6 Ga 0.2714 0.0000 0.5000  6 Ni 2.43-2.47
7 Ga 0.4788 0.4788 0.0000  6 Ni 2.36-2.62
8 Ga 0.5212 0.0000 0.0000  6 Ni 2.36-2.62
9 Ga 0.7286 0.7286 0.5000  6 Ni 2.43-2.47
10 Ni 0.0000 0.7082 0.5000  4 Ga 2.47-2.62, 4 Ni 2.56
11 Ni 0.1730 0.3746 0.0000  4 Ga 2.36-2.43, 3 Ni 2.56-2.62
12 Ni 0.2016 0.8270 0.0000  4 Ga 2.36-2.43, 3 Ni 2.56-2.62
13 Ni 0.2918 0.2918 0.5000  4 Ga 2.47-2.62, 4 Ni 2.56
14 Ni 0.3746 0.1730 0.0000  4 Ga 2.36-2.43, 3 Ni 2.56-2.62
15 Ni 0.6254 0.7984 0.0000  4 Ga 2.36-2.43, 3 Ni 2.56-2.62
16 Ni 0.7082 0.0000 0.5000  4 Ga 2.47-2.62, 4 Ni 2.56
17 Ni 0.7984 0.6254 0.0000  4 Ga 2.36-2.43, 3 Ni 2.56-2.62
18 Ni 0.8270 0.2016 0.0000  4 Ga 2.36-2.43, 3 Ni 2.56-2.62

=====

# 7
This record from Alexandria describes KHfSc2O after structural relaxation. The functional is PBE.

Computed properties:
V: 111.0 Å³/f.u.
space-group type: P4/mmm (123)
formation energy from raw total energies: -0.334 eV per atom

a b c (Å): 5.1363 5.1363 4.2057
angles (deg): 90.00 90.00 90.00
Last column: nearest neighbours and their distance in Å.
Element x y z (fractional)
1 K 0.0000 0.0000 0.0000  8 Sc 3.32, 4 Hf 3.63
2 Hf 0.5000 0.5000 0.0000  2 O 2.10
3 Sc 0.0000 0.5000 0.5000  2 O 2.57
4 Sc 0.5000 0.0000 0.5000  2 O 2.57
5 O 0.5000 0.5000 0.5000  2 Hf 2.10

=====

# 8
This record from Alexandria describes BaPAu after structural relaxation. The functional is PBE.

Computed properties:
V: 79.2 Å³/f.u.
space-group type: P-6m2 (187)
total energy: -4.405 eV per atom

a b c (Å): 4.4429 4.4429 4.6317
angles (deg): 90.00 90.00 120.00
Last column: nearest neighbours and their distance in Å.
Element x y z (fractional)
1 Ba 0.0000 0.0000 0.0000  6 P 3.46, 6 Au 3.46
2 P 0.6667 0.3333 0.5000  3 Au 2.57
3 Au 0.3333 0.6667 0.5000  3 P 2.57